VASP calculation (GGA-PBEsol) on a relaxed AuSeBrN2 crystal.

Lattice parameters (Å, degrees): 3.9439 3.9439 6.2412 90.00 90.00 90.00
Space group P4/mmm (No. 123)
Asymmetric unit:
Au1 0.0000 0.0000 0.0000 (multiplicity 1)
Se1 0.0000 0.0000 0.5000 (multiplicity 1)
Br1 0.5000 0.5000 0.5000 (multiplicity 1)
N1 0.0000 0.5000 0.0000 (multiplicity 2)

## Properties
* formation energy (no corrections): 1.582 eV/atom
* E_tot: -3.758 eV/atom

***

VASP calculation (GGA-PBEsol) on a relaxed TiAuBrN2 crystal.

Lattice parameters (Å, degrees): 3.8323 3.8323 5.6122 90.00 90.00 90.00
Space group P4/mmm (No. 123)
Asymmetric unit:
Ti1 0.0000 0.0000 0.0000 (multiplicity 1)
Au1 0.5000 0.5000 0.5000 (multiplicity 1)
Br1 0.0000 0.0000 0.5000 (multiplicity 1)
N1 0.0000 0.5000 0.0000 (multiplicity 2)

## Properties
* formation energy (no corrections): 0.421 eV/atom
* E_tot: -5.813 eV/atom

***

VASP calculation (GGA-PBEsol) on a relaxed NaAuBr3 crystal.

Lattice parameters (Å, degrees): 5.2343 5.2343 5.2343 90.00 90.00 90.00
Space group Pm-3m (No. 221)
Asymmetric unit:
Na1 0.0000 0.0000 0.0000 (multiplicity 1)
Au1 0.5000 0.5000 0.5000 (multiplicity 1)
Br1 0.0000 0.0000 0.5000 (multiplicity 3)

## Properties
* formation energy (no corrections): 0.214 eV/atom
* E_tot: -1.973 eV/atom

***

VASP calculation (GGA-PBEsol) on a relaxed NbAu3Br crystal.

Lattice parameters (Å, degrees): 4.8923 4.8923 4.8923 90.00 90.00 90.00
Space group Pm-3m (No. 221)
Asymmetric unit:
Nb1 0.0000 0.0000 0.0000 (multiplicity 1)
Au1 0.0000 0.5000 0.5000 (multiplicity 3)
Br1 0.5000 0.5000 0.5000 (multiplicity 1)

## Properties
* formation energy (no corrections): 1.531 eV/atom
* E_tot: -3.362 eV/atom

***

VASP calculation (GGA-PBEsol) on a relaxed Nb2SiAuBr crystal.

Lattice parameters (Å, degrees): 4.8192 4.8192 4.4870 90.00 90.00 90.00
Space group P4/mmm (No. 123)
Asymmetric unit:
Nb1 0.0000 0.5000 0.0000 (multiplicity 2)
Si1 0.0000 0.0000 0.0000 (multiplicity 1)
Au1 0.0000 0.0000 0.5000 (multiplicity 1)
Br1 0.5000 0.5000 0.5000 (multiplicity 1)

## Properties
* formation energy (no corrections): 0.793 eV/atom
* E_tot: -5.843 eV/atom

***

VASP calculation (GGA-PBEsol) on a relaxed Ni2AuBr crystal.

Lattice parameters (Å, degrees): 2.9423 4.0642 10.8435 90.00 90.00 90.00
Space group Imm2 (No. 44)
Asymmetric unit:
Ni1 0.0000 0.0000 0.0000 (multiplicity 2)
Ni2 0.0000 0.5000 0.3149 (multiplicity 2)
Au1 0.0000 0.5000 0.8639 (multiplicity 2)
Br1 0.0000 0.0000 0.6342 (multiplicity 2)

## Properties
* formation energy (no corrections): 0.389 eV/atom
* E_tot: -4.139 eV/atom

***

no.,spin magnetization (μB per atom)
1,0.75
2,0.00
3,0.18
4,0.62
5,0.00
6,0.22